! ScInFeAu PBE-GGA relaxed; values from VASP
&SYSTEM
  ibrav = 0, nat = 16, ntyp = 4
/
ATOMIC_SPECIES
Sc 44.96 Sc.upf
In 114.82 In.upf
Fe 55.84 Fe.upf
Au 196.97 Au.upf
CELL_PARAMETERS angstrom
6.598 0.000 0.000
0.000 6.598 0.000
0.000 0.000 6.598
ATOMIC_POSITIONS crystal
Sc 0.000 0.000 0.000
Sc 0.000 0.500 0.500
Sc 0.500 0.000 0.500
Sc 0.500 0.500 0.000
In 0.000 0.000 0.500
In 0.000 0.500 0.000
In 0.500 0.000 0.000
In 0.500 0.500 0.500
Fe 0.250 0.250 0.750
Fe 0.250 0.750 0.250
Fe 0.750 0.250 0.250
Fe 0.750 0.750 0.750
Au 0.250 0.250 0.250
Au 0.250 0.750 0.750
Au 0.750 0.250 0.750
Au 0.750 0.750 0.250
! - Space-group type: F-43m, No. 216
! - Total energy: -5.391 eV/atom
! - Excess energy over the best structure of this formula in the dataset: 0.00 kcal/mol of atoms

---

! Ba2ErInSe5 PBE-GGA relaxed; values from VASP
&SYSTEM
  ibrav = 0, nat = 18, ntyp = 4
/
ATOMIC_SPECIES
Ba 137.33 Ba.upf
Er 167.26 Er.upf
In 114.82 In.upf
Se 78.96 Se.upf
CELL_PARAMETERS angstrom
2.145 -9.514 0.000
2.145 9.514 0.000
0.000 0.000 13.457
ATOMIC_POSITIONS crystal
Ba 0.118 0.882 0.500
Ba 0.133 0.867 0.132
Ba 0.867 0.133 0.632
Ba 0.882 0.118 0.000
Er 0.211 0.789 0.837
Er 0.789 0.211 0.337
In 0.447 0.553 0.256
In 0.553 0.447 0.756
Se 0.052 0.948 0.871
Se 0.291 0.709 0.474
Se 0.312 0.688 0.190
Se 0.355 0.645 0.819
Se 0.495 0.505 0.585
Se 0.505 0.495 0.085
Se 0.645 0.355 0.319
Se 0.688 0.312 0.690
Se 0.709 0.291 0.974
Se 0.948 0.052 0.371
! - Space-group type: Cmc2_1, No. 36
! - Total energy: -4.803 eV/atom

---

! KNdNO PBE-GGA relaxed; values from VASP
&SYSTEM
  ibrav = 0, nat = 8, ntyp = 4
/
ATOMIC_SPECIES
K 39.10 K.upf
Nd 144.24 Nd.upf
N 14.01 N.upf
O 16.00 O.upf
CELL_PARAMETERS angstrom
4.007 0.000 0.000
0.000 4.007 0.000
0.000 0.000 8.966
ATOMIC_POSITIONS crystal
K 0.250 0.750 0.000
K 0.750 0.250 0.000
Nd 0.250 0.250 0.368
Nd 0.750 0.750 0.632
N 0.250 0.250 0.797
N 0.750 0.750 0.203
O 0.250 0.750 0.500
O 0.750 0.250 0.500
! - Space-group type: P4/nmm, No. 129
! - Total energy: -5.633 eV/atom
! - Excess energy over the best structure of this formula in the dataset: 7.04 kcal/mol of atoms

---

! AlTlPt PBE-GGA relaxed; values from VASP
&SYSTEM
  ibrav = 0, nat = 12, ntyp = 3
/
ATOMIC_SPECIES
Al 26.98 Al.upf
Tl 204.38 Tl.upf
Pt 195.08 Pt.upf
CELL_PARAMETERS angstrom
6.370 0.000 0.000
0.000 6.370 0.000
0.000 0.000 6.370
ATOMIC_POSITIONS crystal
Al 0.000 0.000 0.000
Al 0.000 0.500 0.500
Al 0.500 0.000 0.500
Al 0.500 0.500 0.000
Tl 0.250 0.250 0.250
Tl 0.250 0.750 0.750
Tl 0.750 0.250 0.750
Tl 0.750 0.750 0.250
Pt 0.000 0.000 0.500
Pt 0.000 0.500 0.000
Pt 0.500 0.000 0.000
Pt 0.500 0.500 0.500
! - Space-group type: F-43m, No. 216
! - Total energy: -3.763 eV/atom
! - Excess energy over the best structure of this formula in the dataset: 12.05 kcal/mol of atoms

---

! PrNiIrPb2 PBE-GGA relaxed; values from VASP
&SYSTEM
  ibrav = 0, nat = 10, ntyp = 4
/
ATOMIC_SPECIES
Pr 140.91 Pr.upf
Ni 58.69 Ni.upf
Ir 192.22 Ir.upf
Pb 207.20 Pb.upf
CELL_PARAMETERS angstrom
4.565 0.000 0.000
0.000 4.565 0.000
0.000 0.000 10.759
ATOMIC_POSITIONS crystal
Pr 0.250 0.250 0.234
Pr 0.750 0.750 0.766
Ni 0.250 0.250 0.624
Ni 0.750 0.750 0.376
Ir 0.250 0.750 0.000
Ir 0.750 0.250 0.000
Pb 0.250 0.250 0.857
Pb 0.250 0.750 0.500
Pb 0.750 0.250 0.500
Pb 0.750 0.750 0.143
! - Space-group type: P4/nmm, No. 129
! - Total energy: -5.507 eV/atom

---

! GdTmCo2 PBE-GGA relaxed; values from VASP
&SYSTEM
  ibrav = 0, nat = 8, ntyp = 3
/
ATOMIC_SPECIES
Gd 157.25 Gd.upf
Tm 168.93 Tm.upf
Co 58.93 Co.upf
CELL_PARAMETERS angstrom
3.881 0.000 0.000
0.000 5.501 0.000
0.000 0.000 7.328
ATOMIC_POSITIONS crystal
Gd 0.000 0.132 0.000
Gd 0.000 0.868 0.500
Tm 0.500 0.370 0.644
Tm 0.500 0.630 0.144
Co 0.000 0.359 0.353
Co 0.000 0.641 0.853
Co 0.500 0.155 0.296
Co 0.500 0.845 0.796
! - Space-group type: Pmc2_1, No. 26
! - Total energy: -6.042 eV/atom
! - Excess energy over the best structure of this formula in the dataset: 0.11 kcal/mol of atoms
! - E_form: -207 meV per atom

---

! RbTbSO PBE-GGA relaxed; values from VASP
&SYSTEM
  ibrav = 0, nat = 16, ntyp = 4
/
ATOMIC_SPECIES
Rb 85.47 Rb.upf
Tb 158.93 Tb.upf
S 32.06 S.upf
O 16.00 O.upf
CELL_PARAMETERS angstrom
8.428 0.000 0.000
0.000 9.251 0.000
0.000 0.000 5.567
ATOMIC_POSITIONS crystal
Rb 0.120 0.099 0.000
Rb 0.380 0.099 0.500
Rb 0.620 0.901 0.000
Rb 0.880 0.901 0.500
Tb 0.068 0.641 0.001
Tb 0.432 0.641 0.501
Tb 0.568 0.359 0.001
Tb 0.932 0.359 0.501
S 0.105 0.611 0.502
S 0.395 0.611 0.002
S 0.605 0.389 0.502
S 0.895 0.389 0.002
O 0.040 0.168 0.500
O 0.460 0.168 0.000
O 0.540 0.832 0.500
O 0.960 0.832 0.000
! - Space-group type: Pca2_1, No. 29
! - Total energy: -5.734 eV/atom
! - Excess energy over the best structure of this formula in the dataset: 4.77 kcal/mol of atoms

---

! Nd2Sc2CI5 PBE-GGA relaxed; values from VASP
&SYSTEM
  ibrav = 0, nat = 10, ntyp = 4
/
ATOMIC_SPECIES
Nd 144.24 Nd.upf
Sc 44.96 Sc.upf
C 12.01 C.upf
I 126.90 I.upf
CELL_PARAMETERS angstrom
9.381 -1.970 0.000
9.381 1.970 0.000
-1.975 0.000 8.367
ATOMIC_POSITIONS crystal
Nd 0.136 0.136 0.068
Nd 0.864 0.864 0.932
Sc 0.500 0.500 0.175
Sc 0.500 0.500 0.825
C 0.000 0.000 0.000
I 0.000 0.000 0.500
I 0.338 0.338 0.198
I 0.343 0.343 0.645
I 0.657 0.657 0.355
I 0.662 0.662 0.802
! - Space-group type: C2/m, No. 12
! - Total energy: -4.931 eV/atom
! - Excess energy over the best structure of this formula in the dataset: 1.69 kcal/mol of atoms